NaBi2Te4 (PBE, optimized geometry); calculated total energy = -3.362 eV per atom
1.0
2.244 -7.717 0.000
2.244 7.717 0.000
0.000 0.000 14.289
Na Bi Te
2 4 8
Cartesian
2.244 6.147 10.717 Na
2.244 -6.147 3.572 Na
2.244 2.061 8.146 Bi
2.244 2.061 13.287 Bi
2.244 -2.061 1.002 Bi
2.244 -2.061 6.143 Bi
0.000 0.000 0.000 Te
0.000 0.000 7.144 Te
2.244 3.662 1.920 Te
2.244 3.662 5.225 Te
2.244 0.539 10.717 Te
2.244 -0.539 3.572 Te
2.244 -3.662 9.064 Te
2.244 -3.662 12.369 Te